## w
TaBePd, optimized geometry, DFT PBE; calculated density = 11.8 g/cm³; size of the total moment = 0.000 μB/f.u.; space-group type = Cmce (64)
1.0
2.6097 -5.3201 0.0000
2.6097 5.3201 0.0000
0.0000 0.0000 6.0173
Ta Be Pd
4 4 4
Direct
0.1941 0.8059 0.9195 Ta
0.3059 0.6941 0.4195 Ta
0.6941 0.3059 0.5805 Ta
0.8059 0.1941 0.0805 Ta
0.0925 0.9075 0.5638 Be
0.4075 0.5925 0.0638 Be
0.5925 0.4075 0.9362 Be
0.9075 0.0925 0.4362 Be
0.1913 0.3087 0.7500 Pd
0.3087 0.1913 0.2500 Pd
0.6913 0.8087 0.7500 Pd
0.8087 0.6913 0.2500 Pd

---

## x
TaBePd, optimized geometry, DFT PBE; calculated density = 12.0 g/cm³; size of the total moment = 0.000 μB/f.u.; space-group type = I4mm (107)
1.0
-1.4093 1.4093 5.1748
1.4093 -1.4093 5.1748
1.4093 1.4093 -5.1748
Ta Be Pd
1 1 1
Direct
0.0000 0.0000 0.0000 Ta
0.6670 0.6670 0.0000 Be
0.2955 0.2955 0.0000 Pd

---

Question: which arrangement is favored energetically? Ranking from most to least stable: x, w.

---

## w
Tb2BePd, optimized geometry, DFT PBE; calculated density = 8.5 g/cm³; size of the total moment = 0.000 μB/f.u.; space-group type = Fm-3m (225)
1.0
0.0000 3.4907 3.4907
3.4907 0.0000 3.4907
3.4907 3.4907 0.0000
Tb Be Pd
2 1 1
Direct
0.2500 0.2500 0.2500 Tb
0.7500 0.7500 0.7500 Tb
0.0000 0.0000 0.0000 Be
0.5000 0.5000 0.5000 Pd

---

## x
Tb2BePd, optimized geometry, DFT PBE; calculated density = 8.6 g/cm³; size of the total moment = 0.000 μB/f.u.; space-group type = P4/mmm (123)
1.0
3.5053 0.0000 0.0000
0.0000 3.5053 0.0000
0.0000 0.0000 6.8475
Tb Be Pd
2 1 1
Direct
0.0000 0.0000 0.2438 Tb
0.0000 0.0000 0.7562 Tb
0.5000 0.5000 0.0000 Be
0.5000 0.5000 0.5000 Pd

---

Question: which arrangement is favored energetically? Ranking from most to least stable: x, w.

---

## w
BeTcPd, optimized geometry, DFT PBE; calculated density = 9.1 g/cm³; size of the total moment = 0.000 μB/f.u.; space-group type = R3m (160)
1.0
1.3627 0.7867 6.0420
-1.3627 0.7867 6.0420
0.0000 -1.5735 6.0420
Be Tc Pd
1 1 1
Direct
0.0000 0.0000 0.0000 Be
0.7732 0.7732 0.7732 Tc
0.5682 0.5682 0.5682 Pd

---

## x
BeTcPd, optimized geometry, DFT PBE; calculated density = 8.5 g/cm³; size of the total moment = 0.350 μB/f.u.; space-group type = Pmmm (47)
1.0
2.5577 0.0000 0.0000
0.0000 3.8708 0.0000
0.0000 0.0000 4.1897
Be Tc Pd
1 1 1
Direct
0.0000 0.0000 0.0000 Be
0.5000 0.0000 0.5000 Tc
0.5000 0.5000 0.0000 Pd

---

## y
BeTcPd, optimized geometry, DFT PBE; calculated density = 9.1 g/cm³; size of the total moment = 0.000 μB/f.u.; space-group type = P3m1 (156)
1.0
2.7141 0.0000 0.0000
-1.3571 2.3505 0.0000
0.0000 0.0000 6.1235
Be Tc Pd
1 1 1
Direct
0.0000 0.0000 0.0000 Be
0.3333 0.6667 0.6806 Tc
0.6667 0.3333 0.3006 Pd

---

Question: which arrangement is favored energetically? Ranking from most to least stable: w, y, x.

---

## w
Be3TcPd, optimized geometry, DFT PBE; calculated density = 5.7 g/cm³; size of the total moment = 1.099 μB/f.u.; space-group type = Pm-3m (221)
1.0
4.0589 0.0000 0.0000
0.0000 4.0589 0.0000
0.0000 0.0000 4.0589
Be Tc Pd
3 1 1
Direct
0.0000 0.0000 0.5000 Be
0.0000 0.5000 0.0000 Be
0.5000 0.0000 0.0000 Be
0.5000 0.5000 0.5000 Tc
0.0000 0.0000 0.0000 Pd

---

## x
Be3TcPd, optimized geometry, DFT PBE; calculated density = 5.6 g/cm³; size of the total moment = 0.000 μB/f.u.; space-group type = Pm-3m (221)
1.0
4.0950 0.0000 0.0000
0.0000 4.0950 0.0000
0.0000 0.0000 4.0950
Be Tc Pd
3 1 1
Direct
0.0000 0.0000 0.5000 Be
0.0000 0.5000 0.0000 Be
0.5000 0.0000 0.0000 Be
0.0000 0.0000 0.0000 Tc
0.5000 0.5000 0.5000 Pd

---

Question: which arrangement is favored energetically? Ranking from most to least stable: w, x.

---

## w
ThBePd2, optimized geometry, DFT PBE; calculated density = 10.3 g/cm³; size of the total moment = 0.000 μB/f.u.; space-group type = Cmcm (63)
1.0
1.9838 -8.9198 0.0000
1.9838 8.9198 0.0000
0.0000 0.0000 4.1237
Th Be Pd
2 2 4
Direct
0.1069 0.8931 0.7500 Th
0.8931 0.1069 0.2500 Th
0.3157 0.6843 0.7500 Be
0.6843 0.3157 0.2500 Be
0.2509 0.7491 0.2500 Pd
0.4473 0.5527 0.7500 Pd
0.5527 0.4473 0.2500 Pd
0.7491 0.2509 0.7500 Pd

---

## x
ThBePd2, optimized geometry, DFT PBE; calculated density = 10.1 g/cm³; size of the total moment = 0.000 μB/f.u.; space-group type = R-3m (166)
1.0
2.0791 1.2004 4.9792
-2.0791 1.2004 4.9792
0.0000 -2.4008 4.9792
Th Be Pd
1 1 2
Direct
0.0000 0.0000 0.0000 Th
0.5000 0.5000 0.5000 Be
0.2136 0.2136 0.2136 Pd
0.7864 0.7864 0.7864 Pd

---

Question: which arrangement is favored energetically? Ranking from most to least stable: w, x.

---

## w
TiBePd3, optimized geometry, DFT PBE; calculated density = 8.7 g/cm³; size of the total moment = 0.000 μB/f.u.; space-group type = Pmmn (59)
1.0
4.2303 0.0000 0.0000
0.0000 5.4882 0.0000
0.0000 0.0000 6.2180
Ti Be Pd
2 2 6
Direct
0.2500 0.2500 0.2149 Ti
0.7500 0.7500 0.7851 Ti
0.2500 0.7500 0.3988 Be
0.7500 0.2500 0.6012 Be
0.2500 0.0127 0.6671 Pd
0.2500 0.4873 0.6671 Pd
0.2500 0.7500 0.0501 Pd
0.7500 0.2500 0.9499 Pd
0.7500 0.5127 0.3329 Pd
0.7500 0.9873 0.3329 Pd

---

## x
TiBePd3, optimized geometry, DFT PBE; calculated density = 6.4 g/cm³; size of the total moment = 0.000 μB/f.u.; space-group type = Pm-3m (221)
1.0
4.6118 0.0000 0.0000
0.0000 4.6118 0.0000
0.0000 0.0000 4.6118
Ti Be Pd
1 1 3
Direct
0.0000 0.0000 0.0000 Ti
0.5000 0.5000 0.5000 Be
0.0000 0.0000 0.5000 Pd
0.0000 0.5000 0.0000 Pd
0.5000 0.0000 0.0000 Pd

---

## y
TiBePd3, optimized geometry, DFT PBE; calculated density = 8.3 g/cm³; size of the total moment = 0.000 μB/f.u.; space-group type = Pm-3m (221)
1.0
4.2191 0.0000 0.0000
0.0000 4.2191 0.0000
0.0000 0.0000 4.2191
Ti Be Pd
1 1 3
Direct
0.0000 0.0000 0.0000 Ti
0.5000 0.5000 0.5000 Be
0.0000 0.5000 0.5000 Pd
0.5000 0.0000 0.5000 Pd
0.5000 0.5000 0.0000 Pd

---

Question: which arrangement is favored energetically? Ranking from most to least stable: w, y, x.

---

## w
TiBePd5, optimized geometry, DFT PBE; calculated density = 9.6 g/cm³; size of the total moment = 0.000 μB/f.u.; space-group type = P4/mmm (123)
1.0
3.9215 0.0000 0.0000
0.0000 3.9215 0.0000
0.0000 0.0000 6.6516
Ti Be Pd
1 1 5
Direct
0.0000 0.0000 0.0000 Ti
0.5000 0.5000 0.5000 Be
0.0000 0.5000 0.2928 Pd
0.0000 0.5000 0.7072 Pd
0.5000 0.0000 0.2928 Pd
0.5000 0.0000 0.7072 Pd
0.5000 0.5000 0.0000 Pd

---

## x
TiBePd5, optimized geometry, DFT PBE; calculated density = 8.9 g/cm³; size of the total moment = 0.000 μB/f.u.; space-group type = C2/c (15)
1.0
4.5361 -2.9106 0.0000
4.5361 2.9106 0.0000
-3.1758 0.0000 8.3182
Ti Be Pd
2 2 10
Direct
0.0806 0.9194 0.7500 Ti
0.9194 0.0806 0.2500 Ti
0.0000 0.5000 0.0000 Be
0.5000 0.0000 0.5000 Be
0.1516 0.3816 0.7636 Pd
0.2242 0.5818 0.5190 Pd
0.3388 0.6612 0.2500 Pd
0.3816 0.1516 0.2636 Pd
0.4182 0.7758 0.9810 Pd
0.5818 0.2242 0.0190 Pd
0.6184 0.8484 0.7364 Pd
0.6612 0.3388 0.7500 Pd
0.7758 0.4182 0.4810 Pd
0.8484 0.6184 0.2364 Pd

---

Question: which arrangement is favored energetically? Ranking from most to least stable: w, x.

---

## w
Ti3BePd, optimized geometry, DFT PBE; calculated density = 5.3 g/cm³; size of the total moment = 0.626 μB/f.u.; space-group type = Pm-3m (221)
1.0
4.3364 0.0000 0.0000
0.0000 4.3364 0.0000
0.0000 0.0000 4.3364
Ti Be Pd
3 1 1
Direct
0.0000 0.0000 0.5000 Ti
0.0000 0.5000 0.0000 Ti
0.5000 0.0000 0.0000 Ti
0.0000 0.0000 0.0000 Be
0.5000 0.5000 0.5000 Pd

---

## x
Ti3BePd, optimized geometry, DFT PBE; calculated density = 4.1 g/cm³; size of the total moment = 0.000 μB/f.u.; space-group type = Pm-3m (221)
1.0
4.7268 0.0000 0.0000
0.0000 4.7268 0.0000
0.0000 0.0000 4.7268
Ti Be Pd
3 1 1
Direct
0.0000 0.0000 0.5000 Ti
0.0000 0.5000 0.0000 Ti
0.5000 0.0000 0.0000 Ti
0.5000 0.5000 0.5000 Be
0.0000 0.0000 0.0000 Pd

---

Question: which arrangement is favored energetically? Ranking from most to least stable: w, x.

---

## w
TiBePd, optimized geometry, DFT PBE; calculated density = 6.7 g/cm³; size of the total moment = 0.000 μB/f.u.; space-group type = P-6m2 (187)
1.0
4.1558 0.0000 0.0000
-2.0779 3.5990 0.0000
0.0000 0.0000 2.7195
Ti Be Pd
1 1 1
Direct
0.0000 0.0000 0.0000 Ti
0.6667 0.3333 0.5000 Be
0.3333 0.6667 0.5000 Pd

---

## x
TiBePd, optimized geometry, DFT PBE; calculated density = 6.6 g/cm³; size of the total moment = 0.000 μB/f.u.; space-group type = Cmce (64)
1.0
2.6112 -5.1309 0.0000
2.6112 5.1309 0.0000
0.0000 0.0000 6.1397
Ti Be Pd
4 4 4
Direct
0.1854 0.8146 0.9253 Ti
0.3146 0.6854 0.4253 Ti
0.6854 0.3146 0.5747 Ti
0.8146 0.1854 0.0747 Ti
0.0939 0.9061 0.5642 Be
0.4061 0.5939 0.0642 Be
0.5939 0.4061 0.9358 Be
0.9061 0.0939 0.4358 Be
0.1865 0.3135 0.7500 Pd
0.3135 0.1865 0.2500 Pd
0.6865 0.8135 0.7500 Pd
0.8135 0.6865 0.2500 Pd

---

Question: which arrangement is favored energetically? Ranking from most to least stable: w, x.

---

## w
TiBePd, optimized geometry, DFT PBE; calculated density = 6.4 g/cm³; size of the total moment = 0.000 μB/f.u.; space-group type = Pnma (62)
1.0
8.4294 0.0000 0.0000
0.0000 3.2598 0.0000
0.0000 0.0000 6.1525
Ti Be Pd
4 4 4
Direct
0.1139 0.2500 0.1608 Ti
0.3861 0.7500 0.6608 Ti
0.6139 0.2500 0.3392 Ti
0.8861 0.7500 0.8392 Ti
0.0951 0.7500 0.4812 Be
0.4049 0.2500 0.9812 Be
0.5951 0.7500 0.0188 Be
0.9049 0.2500 0.5188 Be
0.1418 0.2500 0.7475 Pd
0.3582 0.7500 0.2475 Pd
0.6418 0.2500 0.7525 Pd
0.8582 0.7500 0.2525 Pd

---

## x
TiBePd, optimized geometry, DFT PBE; calculated density = 6.8 g/cm³; size of the total moment = 0.000 μB/f.u.; space-group type = Pmma (51)
1.0
11.2474 0.0000 0.0000
0.0000 3.2648 0.0000
0.0000 0.0000 6.4917
Ti Be Pd
6 6 6
Direct
0.0410 0.0000 0.2293 Ti
0.2500 0.0000 0.8469 Ti
0.4590 0.0000 0.2293 Ti
0.5410 0.0000 0.7707 Ti
0.7500 0.0000 0.1531 Ti
0.9590 0.0000 0.7707 Ti
0.0923 0.5000 0.9472 Be
0.2500 0.0000 0.4394 Be
0.4077 0.5000 0.9472 Be
0.5923 0.5000 0.0528 Be
0.7500 0.0000 0.5606 Be
0.9077 0.5000 0.0528 Be
0.1211 0.5000 0.5761 Pd
0.2500 0.5000 0.1910 Pd
0.3789 0.5000 0.5761 Pd
0.6211 0.5000 0.4239 Pd
0.7500 0.5000 0.8090 Pd
0.8789 0.5000 0.4239 Pd

---

Question: which arrangement is favored energetically? Ranking from most to least stable: x, w.

---

## w
Be2TlPd2, optimized geometry, DFT PBE; calculated density = 9.9 g/cm³; size of the total moment = 0.000 μB/f.u.; space-group type = P4/mbm (127)
1.0
7.0999 0.0000 0.0000
0.0000 7.0999 0.0000
0.0000 0.0000 2.9025
Be Tl Pd
4 2 4
Direct
0.1304 0.3696 0.0000 Be
0.3696 0.8696 0.0000 Be
0.6304 0.1304 0.0000 Be
0.8696 0.6304 0.0000 Be
0.0000 0.0000 0.5000 Tl
0.5000 0.5000 0.5000 Tl
0.1462 0.6462 0.5000 Pd
0.3538 0.1462 0.5000 Pd
0.6462 0.8538 0.5000 Pd
0.8538 0.3538 0.5000 Pd

---

## x
Be2TlPd2, optimized geometry, DFT PBE; calculated density = 10.4 g/cm³; size of the total moment = 0.000 μB/f.u.; space-group type = P4/mbm (127)
1.0
6.8216 0.0000 0.0000
0.0000 6.8216 0.0000
0.0000 0.0000 2.9987
Be Tl Pd
4 2 4
Direct
0.1203 0.3797 0.0000 Be
0.3797 0.8797 0.0000 Be
0.6203 0.1203 0.0000 Be
0.8797 0.6203 0.0000 Be
0.0000 0.0000 0.0000 Tl
0.5000 0.5000 0.0000 Tl
0.1557 0.6557 0.5000 Pd
0.3443 0.1557 0.5000 Pd
0.6557 0.8443 0.5000 Pd
0.8443 0.3443 0.5000 Pd

---

## y
Be2TlPd2, optimized geometry, DFT PBE; calculated density = 9.6 g/cm³; size of the total moment = 0.000 μB/f.u.; space-group type = I4/mmm (139)
1.0
-1.6812 1.6812 6.6281
1.6812 -1.6812 6.6281
1.6812 1.6812 -6.6281
Be Tl Pd
2 1 2
Direct
0.2500 0.7500 0.5000 Be
0.7500 0.2500 0.5000 Be
0.0000 0.0000 0.0000 Tl
0.3732 0.3732 0.0000 Pd
0.6268 0.6268 0.0000 Pd

---

Question: which arrangement is favored energetically? Ranking from most to least stable: x, y, w.